VASP calculation (PBE) on a relaxed structure of Ba14NaIr.

Calculated values
Its crystal system is orthorhombic. The calculation puts the calculated total energy at -36.59 eV for the cell shown. Its density is 3.84 g/cm3.

a b c (Å): 12.167 8.873 8.873
angles (deg): 74.97 90.00 90.00
Fractional coordinates of all 16 atoms:
Ba (0.000, 0.000, 0.000)
Ba (0.000, 0.470, 0.470)
Ba (0.000, 0.519, 0.946)
Ba (0.000, 0.946, 0.519)
Ba (0.230, 0.234, 0.234)
Ba (0.295, 0.795, 0.795)
Ba (0.320, 0.343, 0.711)
Ba (0.320, 0.711, 0.343)
Ba (0.500, 0.033, 0.490)
Ba (0.500, 0.490, 0.033)
Ba (0.680, 0.343, 0.711)
Ba (0.680, 0.711, 0.343)
Ba (0.705, 0.795, 0.795)
Ba (0.770, 0.234, 0.234)
Na (0.500, 0.026, 0.026)
Ir (0.500, 0.653, 0.653)


VASP calculation (PBE) on a relaxed structure of BaNa2Ir.

Calculated values
Its crystal system is tetragonal. Its relative energy among the computed polymorphs is 0.00 kJ/mol of atoms. Its density is 5.31 g/cm3.

a b c (Å): 11.927 11.927 11.927
angles (deg): 158.15 158.15 31.10
Fractional coordinates of all 8 atoms:
Ba (0.000, 0.000, 0.000)
Ba (0.750, 0.250, 0.500)
Na (0.183, 0.625, 0.058)
Na (0.375, 0.433, 0.558)
Na (0.567, 0.125, 0.942)
Na (0.875, 0.817, 0.442)
Ir (0.250, 0.750, 0.500)
Ir (0.500, 0.500, 0.000)


VASP calculation (PBE) on a relaxed structure of Ba6NaIr.

Calculated values
Its crystal system is monoclinic. Its relative energy among the computed polymorphs is 0.00 kJ/mol of atoms. Its density is 3.75 g/cm3.

a b c (Å): 7.854 7.854 7.870
angles (deg): 100.20 100.20 99.94
Fractional coordinates of all 8 atoms:
Ba (0.080, 0.722, 0.722)
Ba (0.278, 0.278, 0.922)
Ba (0.278, 0.920, 0.278)
Ba (0.722, 0.080, 0.722)
Ba (0.722, 0.722, 0.078)
Ba (0.920, 0.278, 0.278)
Na (0.500, 0.500, 0.500)
Ir (0.000, 0.000, 0.000)